Entry from the Alexandria database: a relaxed structure of BeHgHI2 (GGA-PBE).

Lattice parameters (Å, degrees): 5.9711 5.9711 3.7630 90.00 90.00 90.00
Sites, in units of the cell vectors:
Be  0.0000  0.0000  0.0000
Hg  0.5000  0.5000  0.5000
H  0.5000  0.5000  0.0000
I  0.0000  0.5000  0.5000
I  0.5000  0.0000  0.5000

Results
For the total energy, the calculation gives -1.467 eV/atom. As for the space group: No. 123.


Entry from the Alexandria database: a relaxed structure of Ag2Ge2N (GGA-PBE).

Lattice parameters (Å, degrees): 4.1242 4.1242 5.6361 90.00 90.00 90.00
Sites, in units of the cell vectors:
Ag  0.0000  0.5000  0.0000
Ag  0.5000  0.0000  0.0000
Ge  0.0000  0.5000  0.5000
Ge  0.5000  0.0000  0.5000
N  0.0000  0.0000  0.0000

Results
The formation energy without anion corrections is 829 meV per atom. The value obtained for the relative energy among the computed polymorphs is 0 meV per atom. As for the space group: No. 123.